(1)
ThPCl after structural relaxation, computed with PBE.

Lattice parameters (Å, degrees): 3.9543 5.1412 10.2050 77.12 78.84 67.52
Last column: nearest neighbours and their distance in Å.
Space group P-1 (No. 2)
One atom of each set of equivalent atoms:
Th  0.1741  0.2948  0.3563 (multiplicity 2)  5 P 2.79-3.01, 2 Cl 2.84
P  0.4413  0.7006  0.4178 (multiplicity 2)  1 P 2.31
Cl  0.1938  0.7733  0.8401 (multiplicity 2)  2 Th 2.84

Calculated values
E above lowest polymorph	0	meV/atom
E_form (uncorrected)	-1.495	eV/atom



(2)
ThPCl after structural relaxation, computed with PBE.

Lattice parameters (Å, degrees): 3.8063 3.8063 9.1225 90.00 90.00 90.00
Last column: nearest neighbours and their distance in Å.
Space group I4mm (No. 107)
One atom of each set of equivalent atoms:
Th  0.0000  0.0000  0.0000 (multiplicity 2)  5 Cl 3.00-3.11, 5 P 3.00-3.23
P  0.0000  0.0000  0.3539 (multiplicity 2)  5 Cl 2.90-3.16, 5 Th 3.00-3.23
Cl  0.0000  0.0000  0.6714 (multiplicity 2)  5 P 2.90-3.16, 5 Th 3.00-3.11

Calculated values
E above lowest polymorph	275	meV/atom
E_form (uncorrected)	-1.220	eV/atom



(3)
ThPCl after structural relaxation, computed with PBE.

Lattice parameters (Å, degrees): 20.1647 4.6019 9.8722 90.00 103.70 90.00
Last column: nearest neighbours and their distance in Å.
Space group C2/m (No. 12)
One atom of each set of equivalent atoms:
Th  0.1543  0.0000  0.3636 (multiplicity 4)  4 P 2.78-2.95, 3 Cl 2.94-2.97
Th  0.2110  0.0000  0.8230 (multiplicity 4)  4 P 2.67-2.85, 1 Cl 2.78
P  0.2074  0.0000  0.1096 (multiplicity 4)  4 Th 2.81-2.95
P  0.2342  0.5000  0.3987 (multiplicity 4)  4 Th 2.67-2.84
Cl  0.0636  0.5000  0.2774 (multiplicity 4)  2 Th 2.94
Cl  0.0931  0.0000  0.6093 (multiplicity 4)  2 Th 2.78-2.97

Calculated values
E above lowest polymorph	52	meV/atom
E_form (uncorrected)	-1.443	eV/atom



(4)
TiP2Cl after structural relaxation, computed with PBE.

Lattice parameters (Å, degrees): 6.3908 6.3908 6.3908 90.00 90.00 90.00
Last column: nearest neighbours and their distance in Å.
Space group Fm-3m (No. 225)
One atom of each set of equivalent atoms:
Ti  0.0000  0.0000  0.0000 (multiplicity 4)  8 P 2.77
P  0.2500  0.2500  0.2500 (multiplicity 8)  4 Cl 2.77, 4 Ti 2.77
Cl  0.0000  0.0000  0.5000 (multiplicity 4)  8 P 2.77

Calculated values
E above lowest polymorph	596	meV/atom
E_form (uncorrected)	0.405	eV/atom



(5)
Ti2PCl2 after structural relaxation, computed with PBE.

Lattice parameters (Å, degrees): 3.5312 3.5312 28.6338 90.00 90.00 120.00
Last column: nearest neighbours and their distance in Å.
Space group R-3m (No. 166, hexagonal axes)
One atom of each set of equivalent atoms:
Ti  0.0000  0.0000  0.1223 (multiplicity 6)  3 P 2.40, 3 Cl 2.59
P  0.0000  0.0000  0.5000 (multiplicity 3)  6 Ti 2.40
Cl  0.0000  0.0000  0.2667 (multiplicity 6)  3 Ti 2.59

Calculated values
E_form (uncorrected)	-1.372	eV/atom



(6)
TiPCl2 after structural relaxation, computed with PBE.

Lattice parameters (Å, degrees): 8.9874 8.9874 4.7600 90.00 90.00 90.00
Last column: nearest neighbours and their distance in Å.
Space group I-42d (No. 122)
One atom of each set of equivalent atoms:
Ti  0.0000  0.0000  0.0000 (multiplicity 4)  2 P 2.38, 4 Cl 2.47
P  0.0000  0.0000  0.5000 (multiplicity 4)  2 Ti 2.38
Cl  0.0917  0.7500  0.1250 (multiplicity 8)  2 Ti 2.47

Calculated values
E above lowest polymorph	0	meV/atom
E_form (uncorrected)	-0.556	eV/atom



(7)
TiPCl2 after structural relaxation, computed with PBE.

Lattice parameters (Å, degrees): 6.4073 6.4073 6.4073 90.00 90.00 90.00
Last column: nearest neighbours and their distance in Å.
Space group Fm-3m (No. 225)
One atom of each set of equivalent atoms:
Ti  0.0000  0.0000  0.0000 (multiplicity 4)  8 Cl 2.77
P  0.0000  0.0000  0.5000 (multiplicity 4)  8 Cl 2.77
Cl  0.2500  0.2500  0.2500 (multiplicity 8)  4 Ti 2.77, 4 P 2.77

Calculated values
E above lowest polymorph	645	meV/atom
E_form (uncorrected)	0.089	eV/atom



(8)
TiP2Cl after structural relaxation, computed with PBE.

Lattice parameters (Å, degrees): 3.6690 3.6690 20.2092 90.00 90.00 90.00
Last column: nearest neighbours and their distance in Å.
Space group I-42d (No. 122)
One atom of each set of equivalent atoms:
Ti  0.0000  0.0000  0.0000 (multiplicity 4)  4 Cl 2.59, 4 P 2.76
P  0.1745  0.2500  0.1250 (multiplicity 8)  2 P 2.24
Cl  0.0000  0.0000  0.5000 (multiplicity 4)  4 Ti 2.59

Calculated values
E above lowest polymorph	0	meV/atom
E_form (uncorrected)	-0.191	eV/atom